[1]
The following is a DFT calculation (GGA-PBE) of HoAl8W4 after structural relaxation.

Computed properties:
DFT total energy: -6.80 eV per atom

a b c (Å): 7.018 7.018 7.018
angles (deg): 98.44 98.44 134.95
Fractional coordinates of all 13 atoms:
Ho 0.000 0.000 0.000
Al 0.000 0.332 0.332
Al 0.000 0.668 0.668
Al 0.278 0.500 0.778
Al 0.332 0.000 0.332
Al 0.500 0.278 0.778
Al 0.500 0.722 0.222
Al 0.668 0.000 0.668
Al 0.722 0.500 0.222
W 0.000 0.000 0.500
W 0.000 0.500 0.000
W 0.500 0.000 0.000
W 0.500 0.500 0.500

[2]
The following is a DFT calculation (GGA-PBE) of Sr2TcNiS6 after structural relaxation.

Computed properties:
Energy relative to the lowest polymorph listed for this composition: 0.0 meV per atom
DFT total energy: -5.22 eV per atom

a b c (Å): 6.283 6.336 6.423
angles (deg): 65.85 63.41 64.78
Fractional coordinates of all 10 atoms:
Sr 0.249 0.257 0.263
Sr 0.751 0.743 0.737
Tc 0.000 0.000 0.000
Ni 0.500 0.500 0.500
S 0.185 0.322 0.784
S 0.253 0.827 0.663
S 0.324 0.750 0.182
S 0.676 0.250 0.818
S 0.747 0.173 0.337
S 0.815 0.678 0.216

[3]
The following is a DFT calculation (GGA-PBE) of Nb8Ga2C3N3 after structural relaxation.

Computed properties:
DFT total energy: -9.36 eV per atom

a b c (Å): 3.136 3.136 24.141
angles (deg): 90.00 90.00 120.00
Fractional coordinates of all 16 atoms:
Nb 0.000 0.000 0.159
Nb 0.000 0.000 0.341
Nb 0.000 0.000 0.659
Nb 0.000 0.000 0.841
Nb 0.333 0.667 0.056
Nb 0.333 0.667 0.448
Nb 0.667 0.333 0.552
Nb 0.667 0.333 0.944
Ga 0.333 0.667 0.251
Ga 0.667 0.333 0.749
C 0.000 0.000 0.000
C 0.333 0.667 0.890
C 0.667 0.333 0.110
N 0.000 0.000 0.500
N 0.333 0.667 0.607
N 0.667 0.333 0.393

Q: Which of these has the lowest DFT total energy?
A: Nb8Ga2C3N3